The following is a DFT calculation (meta-GGA SCAN) of LiMgIn2 at its PBEsol-relaxed geometry.

```
LiMgIn2
1.0
3.323 0.000 0.000
0.000 4.291 0.000
0.000 0.000 6.033
Li Mg In
1 1 2
Direct
0.000 0.000 0.000 Li
0.500 0.500 0.262 Mg
0.000 0.000 0.500 In
0.500 0.500 0.774 In
```

symmetry = Pmm2
spin magnetization = 0.002 μB per formula unit
E_form = -199.6 meV per atom